## LiTl3Te2S6 (PBE)

Data for a relaxed structure of LiTl3Te2S6.

Cell lengths 6.846, 6.846, 7.688 Å; angles 98.27, 98.27, 119.84 degrees
Element x y z (fractional)
Li1 0.000 0.000 0.000
Tl1 0.161 0.839 0.500
Tl2 0.839 0.161 0.500
Tl3 0.500 0.500 0.500
Te1 0.334 0.666 0.000
Te2 0.666 0.334 0.000
S1 0.932 0.591 0.796
S2 0.726 0.726 0.189
S3 0.068 0.409 0.204
S4 0.591 0.932 0.796
S5 0.274 0.274 0.811
S6 0.409 0.068 0.204

final energy	-3.636	eV per atom
formation energy from raw total energies	-0.30	eV per atom
magnetic moment	0.000	μB per atom
space group	No. 12

---

## LiTl2Te2S6 (PBE)

Data for a relaxed structure of LiTl2Te2S6.

Cell lengths 6.743, 6.743, 7.382 Å; angles 97.88, 97.88, 120.36 degrees
Element x y z (fractional)
Li1 0.000 0.000 0.500
Tl1 0.839 0.161 0.000
Tl2 0.161 0.839 0.000
Te1 0.334 0.666 0.500
Te2 0.666 0.334 0.500
S1 0.726 0.726 0.704
S2 0.064 0.404 0.711
S3 0.274 0.274 0.296
S4 0.404 0.064 0.711
S5 0.936 0.596 0.289
S6 0.596 0.936 0.289

final energy	-3.648	eV per atom
formation energy from raw total energies	-0.22	eV per atom
magnetic moment	0.000	μB per atom
space group	No. 12

---

## LiTlTeS2 (PBE)

Data for a relaxed structure of LiTlTeS2.

Cell lengths 4.213, 7.290, 8.060 Å; angles 89.92, 90.00, 90.00 degrees
Element x y z (fractional)
Li1 0.000 0.000 0.000
Li2 0.000 0.000 0.500
Tl1 0.003 0.500 0.750
Tl2 0.997 0.500 0.250
Te1 0.500 0.000 0.250
Te2 0.500 0.000 0.750
S1 0.500 0.750 0.000
S2 0.500 0.250 0.500
S3 0.500 0.750 0.500
S4 0.500 0.250 0.000

final energy	-3.522	eV per atom
formation energy from raw total energies	-0.39	eV per atom
magnetic moment	0.000	μB per atom
space group	No. 13

---

## LiTlTe2S4 (PBE)

Data for a relaxed structure of LiTlTe2S4.

Cell lengths 6.879, 6.711, 6.711 Å; angles 87.39, 59.17, 59.17 degrees
Element x y z (fractional)
Li1 0.000 0.500 0.500
Tl1 0.000 0.000 0.000
Te1 0.500 0.748 0.252
Te2 0.500 0.252 0.748
S1 0.574 0.561 0.867
S2 0.426 0.133 0.439
S3 0.003 0.439 0.133
S4 0.997 0.867 0.561

final energy	-3.594	eV per atom
formation energy from raw total energies	-0.21	eV per atom
magnetic moment	0.000	μB per atom
space group	No. 23

---

## Li2TlTeS (PBE)

Data for a relaxed structure of Li2TlTeS.

Cell lengths 4.580, 4.580, 6.003 Å; angles 90.00, 90.00, 90.00 degrees
Element x y z (fractional)
Tl1 0.000 0.000 0.500
Te1 0.500 0.500 0.500
S1 0.000 0.000 0.000
Li1 0.000 0.500 0.000
Li2 0.500 0.000 0.000

final energy	-3.386	eV per atom
formation energy from raw total energies	-0.69	eV per atom
magnetic moment	0.000	μB per atom
space group	No. 123

---

## LiTmTeS (PBE)

Data for a relaxed structure of LiTmTeS.

Cell lengths 4.179, 4.179, 13.859 Å; angles 90.00, 90.00, 120.00 degrees
Element x y z (fractional)
Li1 0.000 0.000 0.494
Li2 0.000 0.000 0.994
Tm1 0.667 0.333 0.755
Tm2 0.333 0.667 0.255
Te1 0.333 0.667 0.895
Te2 0.667 0.333 0.395
S1 0.000 0.000 0.168
S2 0.000 0.000 0.668

final energy	-4.957	eV per atom
formation energy from raw total energies	-1.54	eV per atom
magnetic moment	0.000	μB per atom
space group	No. 186

---

## LiTm2TeS3 (PBE)

Data for a relaxed structure of LiTm2TeS3.

Cell lengths 7.997, 7.997, 7.997 Å; angles 59.43, 59.43, 59.43 degrees
Element x y z (fractional)
Li1 0.411 0.411 0.411
Li2 0.589 0.589 0.589
Tm1 0.000 0.000 0.000
Tm2 0.500 0.000 0.000
Tm3 0.000 0.500 0.000
Tm4 0.000 0.000 0.500
Te1 0.732 0.732 0.732
Te2 0.268 0.268 0.268
S1 0.218 0.758 0.758
S2 0.758 0.218 0.758
S3 0.758 0.758 0.218
S4 0.782 0.242 0.242
S5 0.242 0.782 0.242
S6 0.242 0.242 0.782

final energy	-5.307	eV per atom
formation energy from raw total energies	-1.54	eV per atom
magnetic moment	0.000	μB per atom
space group	No. 166

---

## LiUTeS (PBE)

Data for a relaxed structure of LiUTeS.

Cell lengths 4.012, 4.012, 7.246 Å; angles 73.93, 73.93, 60.00 degrees
Last column: magnetic moment on the atom in μB.
Element x y z (fractional)
Li1 0.510 0.510 0.469  0.00
U1 0.989 0.989 0.034  2.67
Te1 0.754 0.754 0.738  -0.07
S1 0.247 0.247 0.258  -0.05

final energy	-6.157	eV per atom
formation energy from raw total energies	-1.04	eV per atom
magnetic moment	0.749	μB per atom
space group	No. 160